First-principles (GGA-PBE) data for a relaxed Ta2BIr crystal, as listed in the Alexandria database.

Properties
Uncorrected energy   -77.274 eV per cell
Space group   I-42d, No. 122
Density   15.435 g cm⁻³

a b c (Å): 5.4507 5.4507 5.4507
angles (deg): 104.55 104.55 119.84
Sites, in units of the cell vectors:
Ta  0.0768  0.6250  0.9518
Ta  0.3750  0.3268  0.4518
Ta  0.6732  0.1250  0.0482
Ta  0.8750  0.9232  0.5482
B  0.0000  0.0000  0.0000
B  0.7500  0.2500  0.5000
Ir  0.2500  0.7500  0.5000
Ir  0.5000  0.5000  0.0000